Record 1
A plane-wave DFT calculation with PBE was carried out for CaAc12La3 after structural relaxation.

## Properties
Space group: P4/mmm (123)
V (Å³ per cell): 693
Size of the total moment (μB per cell): 0.00
Electronic total energy (eV per atom): -4.1133
Energy of formation (eV per atom): 0.017

```
CaAc12La3
1.0
5.584 0.000 0.000
0.000 5.584 0.000
0.000 0.000 22.222
Ca Ac La
1 12 3
Direct
0.000 0.000 0.000
0.000 0.500 0.128
0.000 0.500 0.375
0.000 0.500 0.625
0.000 0.500 0.872
0.500 0.000 0.128
0.500 0.000 0.375
0.500 0.000 0.625
0.500 0.000 0.872
0.500 0.500 0.000
0.500 0.500 0.250
0.500 0.500 0.500
0.500 0.500 0.750
0.000 0.000 0.249
0.000 0.000 0.500
0.000 0.000 0.751
```

***

Record 2
A plane-wave DFT calculation with PBE was carried out for KTi2I8 after structural relaxation.

## Properties
Space group: P-3m1 (164)
Energy relative to the elements, uncorrected (eV per atom): -0.843
V (Å³ per cell): 601
Size of the total moment (μB per cell): 1.00
Electronic total energy (eV per atom): -3.5059

```
KTi2I8
1.0
8.679 0.000 0.000
-4.340 7.516 0.000
0.000 0.000 9.209
K Ti I
1 2 8
Direct
0.000 0.000 0.000
0.333 0.667 0.811
0.667 0.333 0.189
0.171 0.342 0.713
0.171 0.829 0.713
0.333 0.667 0.091
0.342 0.171 0.287
0.658 0.829 0.713
0.667 0.333 0.909
0.829 0.171 0.287
0.829 0.658 0.287
```

***

Record 3
A plane-wave DFT calculation with PBE was carried out for SrBeRu2 after structural relaxation.

## Properties
Space group: Cm (8)
V (Å³ per cell): 84
Size of the total moment (μB per cell): 0.00
Electronic total energy (eV per atom): -5.9385
Energy of formation (eV per atom): 0.051

```
SrBeRu2
1.0
3.611 -2.121 0.000
3.611 2.121 0.000
-2.444 0.000 5.464
Sr Be Ru
1 1 2
Direct
0.000 0.000 0.000
0.180 0.180 0.545
0.493 0.493 0.493
0.821 0.821 0.448
```

***

Record 4
A plane-wave DFT calculation with PBE was carried out for CdGa6Au12 after structural relaxation.

## Properties
Space group: R-3 (148)
V (Å³ per cell): 362
Size of the total moment (μB per cell): 0.00
Electronic total energy (eV per atom): -3.2061
Energy of formation (eV per atom): -0.132
Relative energy among the computed polymorphs (meV per atom): 0

```
CdGa6Au12
1.0
6.007 3.468 2.893
-6.007 3.468 2.893
0.000 -6.937 2.893
Cd Ga Au
1 6 12
Direct
0.000 0.000 0.000
0.006 0.505 0.255
0.255 0.006 0.505
0.495 0.745 0.994
0.505 0.255 0.006
0.745 0.994 0.495
0.994 0.495 0.745
0.134 0.217 0.774
0.212 0.382 0.495
0.217 0.774 0.134
0.226 0.866 0.783
0.382 0.495 0.212
0.495 0.212 0.382
0.505 0.788 0.618
0.618 0.505 0.788
0.774 0.134 0.217
0.783 0.226 0.866
0.788 0.618 0.505
0.866 0.783 0.226
```

***

Record 5
A plane-wave DFT calculation with PBE was carried out for AsIrRh2 after structural relaxation.

## Properties
Space group: P4/mmm (123)
V (Å³ per cell): 59
Size of the total moment (μB per cell): 0.00
Electronic total energy (eV per atom): -6.9761
Energy of formation (eV per atom): 0.077

```
AsIrRh2
1.0
4.627 0.000 0.000
0.000 4.627 0.000
0.000 0.000 2.778
As Ir Rh
1 1 2
Direct
0.000 0.000 0.000
0.500 0.500 0.000
0.000 0.500 0.500
0.500 0.000 0.500
```

***

Record 6
A plane-wave DFT calculation with PBE was carried out for PuZnSnN after structural relaxation.

## Properties
Space group: I4mm (107)
Energy relative to the elements, uncorrected (eV per atom): -0.431
V (Å³ per cell): 76
Size of the total moment (μB per cell): 5.03
Electronic total energy (eV per atom): -7.4145

```
PuZnSnN
1.0
-1.650 1.650 7.022
1.650 -1.650 7.022
1.650 1.650 -7.022
Pu Zn Sn N
1 1 1 1
Direct
0.000 0.000 0.000
0.681 0.681 0.000
0.302 0.302 0.000
0.540 0.540 0.000
```

***

Record 7
A plane-wave DFT calculation with PBE was carried out for CeErSbTe after structural relaxation.

## Properties
Space group: R3m (160)
Energy relative to the elements, uncorrected (eV per atom): -1.219
V (Å³ per cell): 123
Size of the total moment (μB per cell): 1.19
Electronic total energy (eV per atom): -5.6596

```
CeErSbTe
1.0
2.208 1.275 7.263
-2.208 1.275 7.263
0.000 -2.550 7.263
Ce Er Sb Te
1 1 1 1
Direct
0.000 0.000 0.000
0.505 0.505 0.505
0.248 0.248 0.248
0.757 0.757 0.757
```

***

Record 8
A plane-wave DFT calculation with PBE was carried out for TaTlIn after structural relaxation.

## Properties
Space group: F-43m (216)
V (Å³ per cell): 78
Size of the total moment (μB per cell): 0.01
Electronic total energy (eV per atom): -4.7555
Energy of formation (eV per atom): 0.897
Relative energy among the computed polymorphs (meV per atom): 465

```
TaTlIn
1.0
0.000 3.395 3.395
3.395 0.000 3.395
3.395 3.395 0.000
Ta Tl In
1 1 1
Direct
0.000 0.000 0.000
0.750 0.750 0.750
0.250 0.250 0.250
```

***

Record 9
A plane-wave DFT calculation with PBE was carried out for Na2Tl3Sn after structural relaxation.

## Properties
Space group: Pnma (62)
V (Å³ per cell): 688
Size of the total moment (μB per cell): 0.00
Electronic total energy (eV per atom): -2.3758
Energy of formation (eV per atom): -0.086
Relative energy among the computed polymorphs (meV per atom): 6

```
Na2Tl3Sn
1.0
10.557 0.000 0.000
0.000 3.403 0.000
0.000 0.000 19.153
Na Tl Sn
8 12 4
Direct
0.020 0.250 0.237
0.248 0.750 0.506
0.252 0.250 0.006
0.480 0.750 0.737
0.520 0.250 0.263
0.748 0.750 0.994
0.752 0.250 0.494
0.980 0.750 0.763
0.014 0.750 0.081
0.025 0.250 0.415
0.244 0.250 0.826
0.256 0.750 0.326
0.475 0.750 0.915
0.486 0.250 0.581
0.514 0.750 0.419
0.525 0.250 0.085
0.744 0.250 0.674
0.756 0.750 0.174
0.975 0.750 0.585
0.986 0.250 0.919
0.213 0.250 0.661
0.287 0.750 0.161
0.713 0.250 0.839
0.787 0.750 0.339
```

***

Record 10
A plane-wave DFT calculation with PBE was carried out for HoSeS2 after structural relaxation.

## Properties
Space group: R-3m (166)
Energy relative to the elements, uncorrected (eV per atom): -1.016
V (Å³ per cell): 108
Size of the total moment (μB per cell): 0.75
Electronic total energy (eV per atom): -5.0954
Relative energy among the computed polymorphs (meV per atom): 0

```
HoSeS2
1.0
1.995 1.152 7.831
-1.995 1.152 7.831
0.000 -2.304 7.831
Ho Se S
1 1 2
Direct
0.000 0.000 0.000
0.500 0.500 0.500
0.395 0.395 0.395
0.605 0.605 0.605
```

***

Record 11
A plane-wave DFT calculation with PBE was carried out for Ce4As5O after structural relaxation.

## Properties
Space group: C2/m (12)
Energy relative to the elements, uncorrected (eV per atom): -1.113
V (Å³ per cell): 246
Size of the total moment (μB per cell): 0.77
Electronic total energy (eV per atom): -6.3076

```
Ce4As5O
1.0
9.537 -2.010 0.000
9.537 2.010 0.000
-2.466 0.000 6.406
Ce As O
4 5 1
Direct
0.000 0.000 0.214
0.000 0.000 0.786
0.307 0.307 0.807
0.693 0.693 0.193
0.162 0.162 0.468
0.162 0.162 0.855
0.500 0.500 0.500
0.838 0.838 0.145
0.838 0.838 0.532
0.500 0.500 0.000
```

***

Record 12
A plane-wave DFT calculation with PBE was carried out for Ca2ScP after structural relaxation.

## Properties
Space group: F-43m (216)
V (Å³ per cell): 95
Size of the total moment (μB per cell): 0.00
Electronic total energy (eV per atom): -3.9014
Energy of formation (eV per atom): 0.035

```
Ca2ScP
1.0
0.000 3.621 3.621
3.621 0.000 3.621
3.621 3.621 0.000
Ca Sc P
2 1 1
Direct
0.000 0.000 0.000
0.250 0.250 0.250
0.500 0.500 0.500
0.750 0.750 0.750
```